Density functional theory data (GGA-PBE) for a geometry-optimized NpVGa2 structure.

Summary:
- DFT formation energy (kJ per mole of atoms) = -2.5
- magnetic moment (μB per cell) = 2.5
- Fermi-level density of states (states/eV/cell) = 4.20
- offset from the most stable computed form (kJ/mol of formula units) = 31
- calculated density (g/cm3) = 10.62

a = 9.7934 Å, b = 9.7934 Å, c = 9.7934 Å
α = 16.59°, β = 16.59°, γ = 16.59°
With the nearest neighbours (Å) after each atom.
Positions (direct):
Np  0.0000  0.0000  0.0000  6 Np 2.83, 6 Ga 3.14
V  0.5000  0.5000  0.5000  6 Ga 2.70, 6 V 2.83
Ga  0.2408  0.2408  0.2408  3 V 2.70, 6 Ga 2.83
Ga  0.7592  0.7592  0.7592  3 V 2.70, 6 Ga 2.83


Density functional theory data (GGA-PBE) for a geometry-optimized Th3MgPb12 structure.

Summary:
- DFT formation energy (kJ per mole of atoms) = -15.8
- magnetic moment (μB per cell) = 0.0
- Fermi-level density of states (states/eV/cell) = 10.13
- calculated density (g/cm3) = 11.26

a = 4.8866 Å, b = 4.8866 Å, c = 19.8076 Å
α = 90.00°, β = 90.00°, γ = 90.00°
With the nearest neighbours (Å) after each atom.
Positions (direct):
Th  0.0000  0.0000  0.0000  12 Pb 3.46
Th  0.0000  0.0000  0.2430  12 Pb 3.40-3.63
Th  0.0000  0.0000  0.7570  12 Pb 3.40-3.63
Mg  0.0000  0.0000  0.5000  12 Pb 3.43-3.46
Pb  0.0000  0.5000  0.1235  4 Th 3.40-3.46, 8 Pb 3.46-3.54
Pb  0.0000  0.5000  0.3786  8 Pb 3.43-3.49, 2 Mg 3.43, 2 Th 3.63
Pb  0.0000  0.5000  0.6214  8 Pb 3.43-3.49, 2 Mg 3.43, 2 Th 3.63
Pb  0.0000  0.5000  0.8765  4 Th 3.40-3.46, 8 Pb 3.46-3.54
Pb  0.5000  0.0000  0.1235  4 Th 3.40-3.46, 8 Pb 3.46-3.54
Pb  0.5000  0.0000  0.3786  8 Pb 3.43-3.49, 2 Mg 3.43, 2 Th 3.63
Pb  0.5000  0.0000  0.6214  8 Pb 3.43-3.49, 2 Mg 3.43, 2 Th 3.63
Pb  0.5000  0.0000  0.8765  4 Th 3.40-3.46, 8 Pb 3.46-3.54
Pb  0.5000  0.5000  0.0000  4 Th 3.46, 8 Pb 3.46
Pb  0.5000  0.5000  0.2525  4 Th 3.46, 8 Pb 3.49-3.54
Pb  0.5000  0.5000  0.5000  8 Pb 3.43, 4 Mg 3.46
Pb  0.5000  0.5000  0.7475  4 Th 3.46, 8 Pb 3.49-3.54


Density functional theory data (GGA-PBE) for a geometry-optimized Na3Cd7Ag structure.

Summary:
- DFT formation energy (kJ per mole of atoms) = -3.5
- magnetic moment (μB per cell) = 0.0
- Fermi-level density of states (states/eV/cell) = 6.27
- calculated density (g/cm3) = 5.75

a = 12.1394 Å, b = 12.1394 Å, c = 14.7590 Å
α = 90.00°, β = 90.00°, γ = 165.17°
With the nearest neighbours (Å) after each atom.
Positions (direct):
Na  0.1292  0.8708  0.5559  2 Na 3.13, 7 Cd 3.37-3.43
Na  0.1292  0.8708  0.9441  2 Na 3.13, 7 Cd 3.37-3.43
Na  0.2788  0.7212  0.2500  2 Na 3.13, 5 Cd 3.19-3.20
Na  0.7212  0.2788  0.7500  2 Na 3.13, 5 Cd 3.19-3.20
Na  0.8708  0.1292  0.0559  2 Na 3.13, 7 Cd 3.37-3.43
Na  0.8708  0.1292  0.4441  2 Na 3.13, 7 Cd 3.37-3.43
Cd  0.2695  0.7305  0.5790  5 Cd 2.84-3.13
Cd  0.2695  0.7305  0.9210  5 Cd 2.84-3.13
Cd  0.3799  0.6201  0.6457  5 Cd 2.84-3.13, 2 Ag 2.99
Cd  0.3799  0.6201  0.8543  5 Cd 2.84-3.13, 2 Ag 2.99
Cd  0.4118  0.5882  0.2500  4 Cd 3.05-3.13, 5 Na 3.20-3.41, 2 Ag 3.38
Cd  0.4951  0.5049  0.0947  5 Cd 2.80-3.13, 2 Ag 2.95
Cd  0.4951  0.5049  0.4053  5 Cd 2.80-3.13, 2 Ag 2.95
Cd  0.5049  0.4951  0.5947  5 Cd 2.80-3.13, 2 Ag 2.95
Cd  0.5049  0.4951  0.9053  5 Cd 2.80-3.13, 2 Ag 2.95
Cd  0.5882  0.4118  0.7500  4 Cd 3.05-3.13, 5 Na 3.20-3.41, 2 Ag 3.38
Cd  0.6201  0.3799  0.1457  5 Cd 2.84-3.13, 2 Ag 2.99
Cd  0.6201  0.3799  0.3543  5 Cd 2.84-3.13, 2 Ag 2.99
Cd  0.7305  0.2695  0.0790  5 Cd 2.84-3.13
Cd  0.7305  0.2695  0.4210  5 Cd 2.84-3.13
Ag  0.0361  0.9639  0.2500  8 Cd 2.95-2.99, 2 Ag 3.13
Ag  0.9639  0.0361  0.7500  8 Cd 2.95-2.99, 2 Ag 3.13